Entry 1:
The following is a DFT calculation (PBE) of a relaxed structure of Zn2SnPd.

```
4
Lattice="3.1567 0.0000 0.0000 1.5784 2.7338 0.0000 1.5784 0.9113 8.6411" Properties=species:S:1:pos:R:3 pbc="T T T"
Sn 3.1567 1.8225 4.3078
Pd 3.1567 1.8225 0.0056
Zn 1.5784 0.9113 1.8609
Zn 1.5784 0.9113 6.7873
```

## Properties
ΔH_f (0 K) = -109 meV per atom

---

Entry 2:
The following is a DFT calculation (PBE) of a relaxed structure of ZnSn2Pd2.

```
10
Lattice="-5.8274 -5.3844 -0.9197 4.9653 -5.7820 2.3897 -0.8856 0.4558 2.9430" Properties=species:S:1:pos:R:3 pbc="T T T"
Pd -1.9638 -2.5156 1.4387
Pd 1.9286 -4.1041 2.8561
Pd -3.6763 -6.6065 1.5569
Pd 0.2160 -8.1950 2.9743
Zn -0.4311 -5.5832 0.7350
Zn 0.0000 0.0000 0.0000
Sn -3.0572 -4.5508 -0.2152
Sn 0.6863 -2.8248 0.6440
Sn 2.1951 -6.6156 1.6852
Sn -1.5484 -8.3416 0.8260
```

## Properties
ΔH_f (0 K) = -196 meV per atom